Sr3CaPm2Te6: optimized geometry, GGA-PBE.

a = 7.9374 Å, b = 7.9374 Å, c = 8.0186 Å
α = 99.49°, β = 99.49°, γ = 119.97°
Last column: nearest neighbours and their distance in Å.
Fractional coordinates of all 12 atoms:
Ca: 0.0000 0.0000 0.0000  6 Te 3.19
Te: 0.7467 0.7467 0.2373  1 Ca 3.19, 2 Pm 3.19, 3 Sr 3.31-3.32
Te: 0.9212 0.5884 0.7630  1 Ca 3.19, 2 Pm 3.20-3.21, 3 Sr 3.31
Te: 0.4116 0.0788 0.2370  1 Ca 3.19, 2 Pm 3.20-3.21, 3 Sr 3.31
Sr: 0.5000 0.5000 0.5000  6 Te 3.31-3.32
Te: 0.5884 0.9212 0.7630  1 Ca 3.19, 2 Pm 3.20-3.21, 3 Sr 3.31
Pm: 0.6660 0.3340 0.0000  6 Te 3.19-3.21
Pm: 0.3340 0.6660 0.0000  6 Te 3.19-3.21
Te: 0.2533 0.2533 0.7627  1 Ca 3.19, 2 Pm 3.19, 3 Sr 3.31-3.32
Sr: 0.1670 0.8330 0.5000  6 Te 3.31
Sr: 0.8330 0.1670 0.5000  6 Te 3.31
Te: 0.0788 0.4116 0.2370  1 Ca 3.19, 2 Pm 3.20-3.21, 3 Sr 3.31

Energy relative to the elements, uncorrected   -1588 meV per atom
Symmetry   C2/m (12)
Spin magnetization   0.00 μB/cell
Calculated total energy   -0.167 hartree per atom